Entry 1:
Sb3Mo after structural relaxation, computed with PBE.

Results
DOS at the Fermi energy = 3.1 states/eV/f.u.
formation energy without anion corrections = 0.2125 eV per atom
relative energy among the computed polymorphs = 0.214 eV per formula unit
crystal system = orthorhombic

Lattice parameters (Å, degrees): 5.635 5.635 5.635 143.09 116.29 75.96
Fractional positions:
Sb: 0.368 0.691 0.677
Sb: 0.569 0.500 0.069
Sb: 0.985 0.309 0.677
Mo: 0.911 0.000 0.911

---

Entry 2:
MgTaSi after structural relaxation, computed with PBE.

Results
DOS at the Fermi energy = 2.1 states/eV/f.u.
formation energy without anion corrections = 0.1169 eV per atom
crystal system = trigonal

Lattice parameters (Å, degrees): 2.978 2.978 6.909 90.00 90.00 120.00
Fractional positions:
Si: 0.333 0.667 0.342
Mg: 0.000 0.000 0.009
Ta: 0.667 0.333 0.649

---

Entry 3:
VMoRhW after structural relaxation, computed with PBE.

Results
DOS at the Fermi energy = 5.1 states/eV/f.u.
total energy = -40.28 eV per cell
crystal system = cubic

Lattice parameters (Å, degrees): 4.394 4.394 4.394 60.00 60.00 60.00
Fractional positions:
V: 0.500 0.500 0.500
Rh: 0.250 0.250 0.250
Mo: 0.750 0.750 0.750
W: 0.000 0.000 0.000

---

Entry 4:
NaLaPrHo after structural relaxation, computed with PBE.

Results
DOS at the Fermi energy = 5.8 states/eV/f.u.
total energy = -14.61 eV per cell
crystal system = cubic

Lattice parameters (Å, degrees): 5.802 5.802 5.802 60.00 60.00 60.00
Fractional positions:
Pr: 0.500 0.500 0.500
La: 0.000 0.000 0.000
Na: 0.750 0.750 0.750
Ho: 0.250 0.250 0.250